No. 1
Here is crystalline MnCdNi2Pb at its relaxed geometry from the Alexandria database. Energies are from GGA-PBEsol.

## Properties
The value obtained for the total moment is 0.8459 μB per atom. Its formation energy from the elements is 0.96 eV/atom. The crystal system is tetragonal.

a = 4.4426 Å, b = 4.4426 Å, c = 4.9225 Å
α = 90.00°, β = 90.00°, γ = 90.00°
Last column: nearest neighbours and their distance in Å.
Space group P4/mmm (No. 123)
Unique sites:
1 Mn 0.0000 0.0000 0.0000 [1 per cell]  4 Ni 2.22, 2 Pb 2.46
2 Cd 0.5000 0.5000 0.5000 [1 per cell]  4 Pb 3.14, 8 Ni 3.32
3 Ni 0.0000 0.5000 0.0000 [2 per cell]  2 Mn 2.22
4 Pb 0.0000 0.0000 0.5000 [1 per cell]  2 Mn 2.46



No. 2
Here is crystalline MnCd4O5 at its relaxed geometry from the Alexandria database. Energies are from GGA-PBEsol.

## Properties
The value obtained for the total moment is 0.4833 μB per atom. The crystal system is trigonal. The value obtained for the formation energy without anion corrections is -1052 meV/atom.

a = 3.2767 Å, b = 3.2767 Å, c = 40.4235 Å
α = 90.00°, β = 90.00°, γ = 120.00°
Last column: nearest neighbours and their distance in Å.
Space group R-3m (No. 166, hexagonal axes)
Unique sites:
1 Mn 0.0000 0.0000 0.0000 [3 per cell]  6 O 2.19
2 Cd 0.0000 0.0000 0.2008 [6 per cell]  6 O 2.34-2.36
3 Cd 0.0000 0.0000 0.3975 [6 per cell]  6 O 2.32-2.41
4 O 0.0000 0.0000 0.0976 [6 per cell]  6 Cd 2.32-2.36
5 O 0.0000 0.0000 0.3059 [6 per cell]  3 Mn 2.19, 3 Cd 2.41
6 O 0.0000 0.0000 0.5000 [3 per cell]  6 Cd 2.34



No. 3
Here is crystalline MnCdO2 at its relaxed geometry from the Alexandria database. Energies are from GGA-PBEsol.

## Properties
The value obtained for the total moment is 1.2433 μB per atom. The crystal system is tetragonal. The value obtained for the formation energy without anion corrections is -1014 meV/atom.

a = 3.2393 Å, b = 3.2393 Å, c = 4.5831 Å
α = 90.00°, β = 90.00°, γ = 90.00°
Last column: nearest neighbours and their distance in Å.
Space group P4/mmm (No. 123)
Unique sites:
1 Mn 0.0000 0.0000 0.0000 [1 per cell]  6 O 2.29
2 Cd 0.5000 0.5000 0.5000 [1 per cell]  6 O 2.29
3 O 0.0000 0.0000 0.5000 [1 per cell]  4 Cd 2.29, 2 Mn 2.29
4 O 0.5000 0.5000 0.0000 [1 per cell]  4 Mn 2.29, 2 Cd 2.29



No. 4
Here is crystalline MnCd4O5 at its relaxed geometry from the Alexandria database. Energies are from GGA-PBEsol.

## Properties
The value obtained for the total moment is 0.4807 μB per atom. The crystal system is monoclinic. The value obtained for the formation energy without anion corrections is -1047 meV/atom.

a = 14.4506 Å, b = 3.2522 Å, c = 10.9407 Å
α = 90.00°, β = 102.37°, γ = 90.00°
Last column: nearest neighbours and their distance in Å.
Space group C2/m (No. 12)
Unique sites:
1 Mn 0.1006 0.0000 0.2989 [4 per cell]  6 O 2.15-2.30
2 Cd 0.0000 0.0000 0.0000 [2 per cell]  6 O 2.29-2.48
3 Cd 0.0000 0.5000 0.5000 [2 per cell]  6 O 2.31-2.38
4 Cd 0.1002 0.5000 0.7985 [4 per cell]  6 O 2.31-2.41
5 Cd 0.1969 0.0000 0.5945 [4 per cell]  6 O 2.32-2.43
6 Cd 0.2014 0.5000 0.1041 [4 per cell]  6 O 2.32-2.40
7 O 0.0458 0.0000 0.6503 [4 per cell]  1 Mn 2.30, 5 Cd 2.31-2.39
8 O 0.0567 0.5000 0.1704 [4 per cell]  2 Mn 2.15, 2 Cd 2.36
9 O 0.1447 0.5000 0.4291 [4 per cell]  2 Mn 2.17, 2 Cd 2.36-2.38
10 O 0.1471 0.0000 0.9528 [4 per cell]  6 Cd 2.29-2.40
11 O 0.2470 0.0000 0.2566 [4 per cell]  1 Mn 2.26, 5 Cd 2.32-2.41